--- P ---
Material: Tm6Cd3Co
Method: DFT, PBE
State: relaxed

The space group is P2_1/m (No. 11) and the conventional cell measures 8.9662, 5.2116 and 11.1840 Å, with angles of 90.00, 108.85 and 90.00 degrees. The inequivalent atoms are Tm at (0.0334, 0.2500, 0.4166), Tm at (0.1996, 0.7500, 0.1639), Tm at (0.2852, 0.2500, 0.0043), Tm at (0.3468, 0.7500, 0.8363), Tm at (0.3800, 0.2500, 0.3513), Tm at (0.3887, 0.2500, 0.6574), Cd at (0.0039, 0.7500, 0.8709), Cd at (0.0785, 0.2500, 0.7222), Cd at (0.2692, 0.7500, 0.4755) and Co at (0.4628, 0.7500, 0.0915).

---

--- Q ---
Material: Tm6Cd3Co
Method: DFT, PBE
State: relaxed

The space group is Pnnm (No. 58) and the conventional cell measures 8.9865, 11.0589 and 5.0879 Å, with angles of 90.00, 90.00 and 90.00 degrees. The inequivalent atoms are Tm at (0.0189, 0.2309, 0.0000), Tm at (0.1538, 0.0759, 0.5000), Tm at (0.1975, 0.4120, 0.5000), Cd at (0.0000, 0.5000, 0.0000), Cd at (0.1485, 0.7178, 0.5000) and Co at (0.0000, 0.0000, 0.0000).

---

Ranked by calculated energy, most stable first: P, Q.

---

--- P ---
Material: YTmCdCo
Method: DFT, PBE
State: relaxed

The space group is P4mm (No. 99) and the conventional cell measures 3.4078, 3.4078 and 7.5950 Å, with angles of 90.00, 90.00 and 90.00 degrees. The inequivalent atoms are Y at (0.0000, 0.0000, 0.0000), Tm at (0.0000, 0.0000, 0.5743), Cd at (0.5000, 0.5000, 0.2925) and Co at (0.5000, 0.5000, 0.7792).

---

--- Q ---
Material: YTmCdCo
Method: DFT, PBE
State: relaxed

The space group is F-43m (No. 216) and the conventional cell measures 7.0769, 7.0769 and 7.0769 Å, with angles of 90.00, 90.00 and 90.00 degrees. The inequivalent atoms are Y at (0.0000, 0.0000, 0.0000), Tm at (0.0000, 0.0000, 0.5000), Cd at (0.2500, 0.2500, 0.7500) and Co at (0.2500, 0.2500, 0.2500).

---

Ranked by calculated energy, most stable first: P, Q.

---

--- P ---
Material: Cd2CoW
Method: DFT, PBE
State: relaxed

The space group is R3m (No. 160, hexagonal axes) and the conventional cell measures 2.8600, 2.8600 and 29.2812 Å, with angles of 90.00, 90.00 and 120.00 degrees. The inequivalent atoms are Cd at (0.0000, 0.0000, 0.0000), Cd at (0.0000, 0.0000, 0.2322), Co at (0.0000, 0.0000, 0.4867) and W at (0.0000, 0.0000, 0.7557).

---

--- Q ---
Material: Cd2CoW
Method: DFT, PBE
State: relaxed

The space group is Pmmm (No. 47) and the conventional cell measures 2.9466, 4.6589 and 4.8730 Å, with angles of 90.00, 90.00 and 90.00 degrees. The inequivalent atoms are Cd at (0.0000, 0.0000, 0.0000), Cd at (0.5000, 0.5000, 0.0000), Co at (0.0000, 0.5000, 0.5000) and W at (0.5000, 0.0000, 0.5000).

---

--- R ---
Material: Cd2CoW
Method: DFT, PBE
State: relaxed

The space group is Imm2 (No. 44) and the conventional cell measures 2.8001, 4.9048 and 10.0377 Å, with angles of 90.00, 90.00 and 90.00 degrees. The inequivalent atoms are Cd at (0.0000, 0.0000, 0.0000), Cd at (0.0000, 0.5000, 0.2149), Co at (0.0000, 0.5000, 0.7427) and W at (0.0000, 0.0000, 0.4397).

---

--- S ---
Material: Cd2CoW
Method: DFT, PBE
State: relaxed

The space group is Cmmm (No. 65) and the conventional cell measures 5.6002, 8.9271 and 2.7211 Å, with angles of 90.00, 90.00 and 90.00 degrees. The inequivalent atoms are Cd at (0.2500, 0.2500, 0.0000), Co at (0.0000, 0.0000, 0.5000) and W at (0.0000, 0.5000, 0.5000).

---

Ranked by calculated energy, most stable first: P, R, S, Q.

---

--- P ---
Material: Cd2CoW
Method: DFT, PBE
State: relaxed

The space group is I-4m2 (No. 119) and the conventional cell measures 4.2517, 4.2517 and 7.3113 Å, with angles of 90.00, 90.00 and 90.00 degrees. The inequivalent atoms are Cd at (0.0000, 0.0000, 0.0000), Cd at (0.0000, 0.5000, 0.2500), Co at (0.0000, 0.5000, 0.7500) and W at (0.0000, 0.0000, 0.5000).

---

--- Q ---
Material: Cd2CoW
Method: DFT, PBE
State: relaxed

The space group is P4/mmm (No. 123) and the conventional cell measures 2.7773, 2.7773 and 8.6979 Å, with angles of 90.00, 90.00 and 90.00 degrees. The inequivalent atoms are Cd at (0.0000, 0.0000, 0.2328), Co at (0.5000, 0.5000, 0.0000) and W at (0.5000, 0.5000, 0.5000).

---

Ranked by calculated energy, most stable first: Q, P.

---

--- P ---
Material: Cd2CoW
Method: DFT, PBE
State: relaxed

The space group is R-3m (No. 166, hexagonal axes) and the conventional cell measures 2.8703, 2.8703 and 28.4838 Å, with angles of 90.00, 90.00 and 120.00 degrees. The inequivalent atoms are Cd at (0.0000, 0.0000, 0.2450), Co at (0.0000, 0.0000, 0.5000) and W at (0.0000, 0.0000, 0.0000).

---

--- Q ---
Material: Cd2CoW
Method: DFT, PBE
State: relaxed

The space group is I-42d (No. 122) and the conventional cell measures 7.4278, 7.4278 and 5.1900 Å, with angles of 90.00, 90.00 and 90.00 degrees. The inequivalent atoms are Cd at (0.2179, 0.7500, 0.1250), Co at (0.0000, 0.0000, 0.0000) and W at (0.0000, 0.0000, 0.5000).

---

Ranked by calculated energy, most stable first: P, Q.

---

--- P ---
Material: Cd2CoW
Method: DFT, PBE
State: relaxed

The space group is F-43m (No. 216) and the conventional cell measures 6.4208, 6.4208 and 6.4208 Å, with angles of 90.00, 90.00 and 90.00 degrees. The inequivalent atoms are Cd at (0.0000, 0.0000, 0.0000), Cd at (0.2500, 0.2500, 0.2500), Co at (0.0000, 0.0000, 0.5000) and W at (0.2500, 0.2500, 0.7500).

---

--- Q ---
Material: Cd2CoW
Method: DFT, PBE
State: relaxed

The space group is Pm (No. 6) and the conventional cell measures 2.9108, 2.9081 and 8.0138 Å, with angles of 90.00, 90.18 and 90.00 degrees. The inequivalent atoms are Cd at (0.0000, 0.0000, 0.0000), Cd at (0.4960, 0.5000, 0.3065), Co at (0.4990, 0.5000, 0.7611) and W at (0.9976, 0.0000, 0.5841).

---

--- R ---
Material: Cd2CoW
Method: DFT, PBE
State: relaxed

The space group is Cm (No. 8) and the conventional cell measures 8.8323, 2.8137 and 5.5313 Å, with angles of 90.00, 97.96 and 90.00 degrees. The inequivalent atoms are Cd at (0.0000, 0.0000, 0.0000), Cd at (0.2409, 0.0000, 0.7368), Co at (0.2414, 0.5000, 0.2982) and W at (0.4855, 0.0000, 0.4521).

---

--- S ---
Material: Cd2CoW
Method: DFT, PBE
State: relaxed

The space group is C2/m (No. 12) and the conventional cell measures 10.9827, 2.8112 and 4.7179 Å, with angles of 90.00, 115.20 and 90.00 degrees. The inequivalent atoms are Cd at (0.2252, 0.0000, 0.2255), Co at (0.0000, 0.5000, 0.0000) and W at (0.0000, 0.0000, 0.5000).

---

Ranked by calculated energy, most stable first: Q, R, S, P.

---

--- P ---
Material: Cd2CoW
Method: DFT, PBE
State: relaxed

The space group is Cmmm (No. 65) and the conventional cell measures 3.5172, 4.2626 and 8.9845 Å, with angles of 90.00, 90.00 and 90.00 degrees. The inequivalent atoms are Cd at (0.0000, 0.0000, 0.2341), Co at (0.0000, 0.5000, 0.0000) and W at (0.0000, 0.5000, 0.5000).

---

--- Q ---
Material: Cd2CoW
Method: DFT, PBE
State: relaxed

The space group is P4/mmm (No. 123) and the conventional cell measures 4.9952, 4.9952 and 2.7712 Å, with angles of 90.00, 90.00 and 90.00 degrees. The inequivalent atoms are Cd at (0.0000, 0.5000, 0.0000), Co at (0.0000, 0.0000, 0.5000) and W at (0.5000, 0.5000, 0.5000).

---

--- R ---
Material: Cd2CoW
Method: DFT, PBE
State: relaxed

The space group is I4/mmm (No. 139) and the conventional cell measures 3.9509, 3.9509 and 8.6593 Å, with angles of 90.00, 90.00 and 90.00 degrees. The inequivalent atoms are Cd at (0.0000, 0.5000, 0.2500), Co at (0.0000, 0.0000, 0.0000) and W at (0.0000, 0.0000, 0.5000).

---

--- S ---
Material: Cd2CoW
Method: DFT, PBE
State: relaxed

The space group is Fm-3m (No. 225) and the conventional cell measures 6.4558, 6.4558 and 6.4558 Å, with angles of 90.00, 90.00 and 90.00 degrees. The inequivalent atoms are Cd at (0.2500, 0.2500, 0.2500), Co at (0.0000, 0.0000, 0.0000) and W at (0.0000, 0.0000, 0.5000).

---

Ranked by calculated energy, most stable first: P, R, Q, S.

---

--- P ---
Material: Cd2CoW
Method: DFT, PBE
State: relaxed

The space group is P2/m (No. 10) and the conventional cell measures 2.7419, 4.6318 and 5.3989 Å, with angles of 90.00, 101.96 and 90.00 degrees. The inequivalent atoms are Cd at (0.1732, 0.0000, 0.2589), Co at (0.0000, 0.5000, 0.5000) and W at (0.5000, 0.5000, 0.0000).

---

--- Q ---
Material: Cd2CoW
Method: DFT, PBE
State: relaxed

The space group is P4/mmm (No. 123) and the conventional cell measures 3.9342, 3.9342 and 4.3397 Å, with angles of 90.00, 90.00 and 90.00 degrees. The inequivalent atoms are Cd at (0.0000, 0.5000, 0.0000), Co at (0.0000, 0.0000, 0.5000) and W at (0.5000, 0.5000, 0.5000).

---

Ranked by calculated energy, most stable first: P, Q.

---

--- P ---
Material: Y3CdCo
Method: DFT, PBE
State: relaxed

The space group is Pm-3m (No. 221) and the conventional cell measures 5.1885, 5.1885 and 5.1885 Å, with angles of 90.00, 90.00 and 90.00 degrees. The inequivalent atoms are Y at (0.0000, 0.0000, 0.5000), Cd at (0.5000, 0.5000, 0.5000) and Co at (0.0000, 0.0000, 0.0000).

---

--- Q ---
Material: Y3CdCo
Method: DFT, PBE
State: relaxed

The space group is P-1 (No. 2) and the conventional cell measures 5.5461, 6.4336 and 8.4495 Å, with angles of 70.30, 77.67 and 65.01 degrees. The inequivalent atoms are Y at (0.0304, 0.1729, 0.1108), Y at (0.3684, 0.4674, 0.2262), Y at (0.3699, 0.1750, 0.6909), Cd at (0.0988, 0.7451, 0.5217) and Co at (0.4490, 0.8336, 0.9825).

---

Ranked by calculated energy, most stable first: Q, P.

---

--- P ---
Material: Y4CdCo
Method: DFT, PBE
State: relaxed

The space group is C2/c (No. 15) and the conventional cell measures 8.7997, 12.5087 and 6.0870 Å, with angles of 90.00, 106.25 and 90.00 degrees. The inequivalent atoms are Y at (0.1039, 0.1638, 0.0421), Y at (0.2142, 0.4157, 0.3952), Cd at (0.0000, 0.3740, 0.7500) and Co at (0.0000, 0.0011, 0.2500).

---

--- Q ---
Material: Y4CdCo
Method: DFT, PBE
State: relaxed

The space group is F-43m (No. 216) and the conventional cell measures 8.7515, 8.7515 and 8.7515 Å, with angles of 90.00, 90.00 and 90.00 degrees. The inequivalent atoms are Y at (0.1253, 0.1253, 0.1253), Cd at (0.2500, 0.2500, 0.7500) and Co at (0.0000, 0.0000, 0.5000).

---

Ranked by calculated energy, most stable first: P, Q.